1.
DFT (GGA-PBE) results for CsGeBr3 after structural relaxation.

Cell lengths 5.7529, 5.7529, 5.7529 Å; angles 88.49, 88.49, 88.49 degrees
Element x y z (fractional)
Cs (0.9955, 0.9955, 0.9955)
Ge (0.4697, 0.4697, 0.4697)
Br (0.5001, 0.5001, 0.0225)
Br (0.5001, 0.0225, 0.5001)
Br (0.0225, 0.5001, 0.5001)

Output
Final energy in eV per atom: -3.213
Energy relative to the elements, uncorrected in eV/atom: -1.115

---

2.
DFT (GGA-PBE) results for Cs2GeBr after structural relaxation.

Cell lengths 8.7241, 8.7241, 8.7241 Å; angles 113.23, 113.23, 102.19 degrees
Element x y z (fractional)
Cs (0.1042, 0.1250, 0.4792)
Cs (0.8750, 0.3542, 0.9792)
Cs (0.6458, 0.6250, 0.5208)
Cs (0.3750, 0.8958, 0.0208)
Ge (0.5000, 0.5000, 0.0000)
Ge (0.2500, 0.7500, 0.5000)
Br (0.7500, 0.2500, 0.5000)
Br (0.0000, 0.0000, 0.0000)

Output
Final energy in eV per atom: -2.462
Energy relative to the elements, uncorrected in eV/atom: -0.463

---

3.
DFT (GGA-PBE) results for Cs4GeBr7 after structural relaxation.

Cell lengths 5.7578, 11.6341, 9.4214 Å; angles 70.32, 72.21, 75.67 degrees
Element x y z (fractional)
Br (0.2404, 0.0083, 0.5109)
Br (0.9315, 0.2448, 0.8922)
Br (0.5000, 0.0000, 0.0000)
Br (0.6482, 0.4583, 0.2453)
Br (0.3518, 0.5417, 0.7547)
Br (0.7596, 0.9917, 0.4891)
Br (0.0685, 0.7552, 0.1078)
Cs (0.7248, 0.6894, 0.8610)
Cs (0.4454, 0.7359, 0.3733)
Cs (0.5546, 0.2641, 0.6267)
Cs (0.2752, 0.3106, 0.1390)
Ge (0.0000, 0.0000, 0.0000)

Output
Final energy in eV per atom: -2.905
Energy relative to the elements, uncorrected in eV/atom: -1.260

---

4.
DFT (GGA-PBE) results for CsGeBr3 after structural relaxation.

Cell lengths 7.8934, 13.3224, 13.3224 Å; angles 120.00, 90.00, 90.00 degrees
Element x y z (fractional)
Br (0.0748, 0.5010, 0.8300)
Br (0.2974, 0.8337, 0.0000)
Br (0.5748, 0.1700, 0.4990)
Br (0.5748, 0.5010, 0.6709)
Br (0.0748, 0.8300, 0.5010)
Br (0.7974, 0.1663, 0.0000)
Br (0.0748, 0.6709, 0.1700)
Br (0.2974, 0.0000, 0.8337)
Br (0.5748, 0.3291, 0.8300)
Br (0.5748, 0.8300, 0.3291)
Br (0.7974, 0.0000, 0.1663)
Br (0.5748, 0.6709, 0.5010)
Br (0.5748, 0.4990, 0.1700)
Br (0.7974, 0.8337, 0.8337)
Br (0.0748, 0.1700, 0.6709)
Br (0.2974, 0.1663, 0.1663)
Br (0.0748, 0.3291, 0.4990)
Br (0.0748, 0.4990, 0.3291)
Ge (0.9059, 0.3333, 0.6667)
Ge (0.4059, 0.6667, 0.3333)
Ge (0.4059, 0.3333, 0.6667)
Ge (0.9059, 0.6667, 0.3333)
Ge (0.9665, 0.0000, 0.0000)
Ge (0.4665, 0.0000, 0.0000)
Cs (0.6847, 0.0000, 0.6661)
Cs (0.6847, 0.3339, 0.3339)
Cs (0.1847, 0.6661, 0.6661)
Cs (0.1847, 0.0000, 0.3339)
Cs (0.6847, 0.6661, 0.0000)
Cs (0.1847, 0.3339, 0.0000)

Output
Final energy in eV per atom: -3.209
Energy relative to the elements, uncorrected in eV/atom: -1.111

---

5.
DFT (GGA-PBE) results for Cs2GeBr3 after structural relaxation.

Cell lengths 4.7723, 5.6714, 10.0340 Å; angles 106.42, 103.76, 90.00 degrees
Element x y z (fractional)
Br (0.8454, 0.8454, 0.6908)
Br (0.0000, 0.5000, 0.0000)
Br (0.1546, 0.1546, 0.3092)
Cs (0.3546, 0.3546, 0.7091)
Cs (0.6454, 0.6454, 0.2909)
Ge (0.0000, 0.0000, 0.0000)

Output
Final energy in eV per atom: -3.034
Energy relative to the elements, uncorrected in eV/atom: -1.143

---

6.
DFT (GGA-PBE) results for CsGe5Br11 after structural relaxation.

Cell lengths 9.1058, 8.8798, 8.8798 Å; angles 109.58, 102.66, 102.66 degrees
Element x y z (fractional)
Br (0.0379, 0.8395, 0.5738)
Br (0.6838, 0.6906, 0.1422)
Br (0.5000, 0.0000, 0.0000)
Br (0.0379, 0.5738, 0.8395)
Br (0.6838, 0.1422, 0.6906)
Br (0.3438, 0.5988, 0.5988)
Br (0.9621, 0.4262, 0.1605)
Br (0.3162, 0.8578, 0.3094)
Br (0.6562, 0.4012, 0.4012)
Br (0.3162, 0.3094, 0.8578)
Br (0.9621, 0.1605, 0.4262)
Ge (0.0000, 0.5000, 0.5000)
Ge (0.3484, 0.9237, 0.6259)
Ge (0.6516, 0.3741, 0.0763)
Ge (0.6516, 0.0763, 0.3741)
Ge (0.3484, 0.6259, 0.9237)
Cs (0.0000, 0.0000, 0.0000)

Output
Final energy in eV per atom: -3.159
Energy relative to the elements, uncorrected in eV/atom: -0.668

---

7.
DFT (GGA-PBE) results for Cs4Ge3Br10 after structural relaxation.

Cell lengths 5.6133, 5.6133, 20.6358 Å; angles 97.82, 97.82, 90.00 degrees
Element x y z (fractional)
Ge (0.1406, 0.1406, 0.2812)
Ge (0.0000, 0.0000, 0.0000)
Ge (0.8594, 0.8594, 0.7188)
Br (0.0692, 0.0692, 0.1385)
Br (0.0000, 0.5000, 0.0000)
Br (0.8614, 0.3614, 0.7228)
Br (0.5000, 0.0000, 0.0000)
Br (0.6386, 0.1386, 0.2772)
Br (0.7914, 0.7914, 0.5828)
Br (0.1386, 0.6386, 0.2772)
Br (0.2086, 0.2086, 0.4172)
Br (0.3614, 0.8614, 0.7228)
Br (0.9308, 0.9308, 0.8615)
Cs (0.6999, 0.6999, 0.3999)
Cs (0.4326, 0.4326, 0.8652)
Cs (0.5674, 0.5674, 0.1348)
Cs (0.3001, 0.3001, 0.6001)

Output
Final energy in eV per atom: -3.185
Energy relative to the elements, uncorrected in eV/atom: -1.186

---

8.
DFT (GGA-PBE) results for Cs5GeBr8 after structural relaxation.

Cell lengths 9.9413, 9.9413, 9.9413 Å; angles 115.27, 98.41, 115.27 degrees
Element x y z (fractional)
Cs (0.4076, 0.1671, 0.9882)
Cs (0.5000, 0.0000, 0.5000)
Cs (0.8211, 0.8329, 0.2404)
Cs (0.7596, 0.5806, 0.5924)
Cs (0.0118, 0.4194, 0.1789)
Br (0.7185, 0.4018, 0.8949)
Br (0.5473, 0.7196, 0.8579)
Br (0.1421, 0.6894, 0.8617)
Br (0.1383, 0.2804, 0.8277)
Br (0.6833, 0.1764, 0.2815)
Br (0.1051, 0.8236, 0.5069)
Br (0.1723, 0.3106, 0.4527)
Br (0.4931, 0.5982, 0.3167)
Ge (0.2500, 0.5000, 0.7500)

Output
Final energy in eV per atom: -2.943
Energy relative to the elements, uncorrected in eV/atom: -1.353

---

9.
DFT (GGA-PBE) results for Cs3Ge2Br7 after structural relaxation.

Cell lengths 5.5579, 5.6532, 14.7534 Å; angles 101.05, 90.00, 90.00 degrees
Element x y z (fractional)
Cs (0.5000, 0.6825, 0.3650)
Cs (0.5000, 0.3175, 0.6350)
Cs (0.5000, 0.5000, 0.0000)
Ge (0.0000, 0.1004, 0.2008)
Ge (0.0000, 0.8996, 0.7992)
Br (0.0000, 0.1952, 0.3903)
Br (0.5000, 0.0982, 0.1964)
Br (0.5000, 0.9018, 0.8036)
Br (0.0000, 0.0000, 0.0000)
Br (0.0000, 0.5973, 0.1947)
Br (0.0000, 0.4027, 0.8053)
Br (0.0000, 0.8048, 0.6097)

Output
Final energy in eV per atom: -3.164
Energy relative to the elements, uncorrected in eV/atom: -1.205

---

10.
DFT (GGA-PBE) results for CsGeBr6 after structural relaxation.

Cell lengths 7.3313, 7.3313, 7.8056 Å; angles 61.99, 61.99, 60.00 degrees
Element x y z (fractional)
Br (0.0874, 0.6052, 0.2200)
Br (0.0874, 0.0874, 0.2200)
Br (0.9126, 0.9126, 0.7800)
Br (0.6052, 0.0874, 0.2200)
Br (0.9126, 0.3948, 0.7800)
Br (0.3948, 0.9126, 0.7800)
Ge (0.0000, 0.0000, 0.0000)
Cs (0.5000, 0.5000, 0.5000)

Output
Final energy in eV per atom: -2.592
Energy relative to the elements, uncorrected in eV/atom: -0.654

---

11.
DFT (GGA-PBE) results for CsGe2Br after structural relaxation.

Cell lengths 5.5722, 5.5722, 5.5722 Å; angles 60.00, 60.00, 60.00 degrees
Element x y z (fractional)
Cs (0.5000, 0.5000, 0.5000)
Br (0.0000, 0.0000, 0.0000)
Ge (0.7500, 0.7500, 0.7500)
Ge (0.2500, 0.2500, 0.2500)

Output
Final energy in eV per atom: -2.381
Energy relative to the elements, uncorrected in eV/atom: 0.560

---

12.
DFT (GGA-PBE) results for CsGe4Br8 after structural relaxation.

Cell lengths 8.6028, 8.6028, 9.5185 Å; angles 100.61, 103.52, 122.53 degrees
Element x y z (fractional)
Ge (0.2606, 0.7577, 0.0184)
Ge (0.7538, 0.7538, 0.0000)
Ge (0.7394, 0.2423, 0.9816)
Ge (0.2462, 0.2462, 0.0000)
Br (0.6701, 0.9953, 0.1804)
Br (0.8228, 0.9971, 0.8200)
Br (0.1772, 0.0029, 0.1800)
Br (0.6724, 0.5019, 0.1744)
Br (0.3299, 0.0047, 0.8196)
Br (0.3276, 0.4981, 0.8256)
Br (0.1852, 0.5103, 0.1804)
Br (0.8148, 0.4897, 0.8196)
Cs (0.0000, 0.5000, 0.5000)

Output
Final energy in eV per atom: -3.136
Energy relative to the elements, uncorrected in eV/atom: -0.620

---

Q: Which formula does entry 9 have?
A: Cs3Ge2Br7